No. 1
Computed, not measured: crystalline CoW2Cl at its relaxed geometry at the PBE level of DFT.

Unit cell a=2.9065 b=4.5378 c=4.6153 alpha=90.00 beta=90.00 gamma=90.00
Last column: nearest neighbours and their distance in Å.
Space group Pmmm (No. 47)
Unique sites:
Co 0.0000 0.0000 0.0000 [1 per cell]  4 W 2.69, 4 Cl 2.73, 2 Co 2.91
W 0.0000 0.5000 0.5000 [1 per cell]  4 Cl 2.69, 6 W 2.73-2.91
W 0.5000 0.5000 0.0000 [1 per cell]  4 Co 2.69, 6 W 2.73-2.91
Cl 0.5000 0.0000 0.5000 [1 per cell]  4 W 2.69, 4 Co 2.73, 2 Cl 2.91

- ΔE_f (raw): 983.3 meV per atom
- Calculated density: 12605 kg/m3
- Final energy: -30.93 eV/cell



No. 2
Computed, not measured: crystalline Zr2NbTlB at its relaxed geometry at the PBE level of DFT.

Unit cell a=4.6873 b=4.6873 c=4.4149 alpha=90.00 beta=90.00 gamma=90.00
Last column: nearest neighbours and their distance in Å.
Space group P4/mmm (No. 123)
Unique sites:
Zr 0.0000 0.5000 0.0000 [2 per cell]  2 B 2.34
Nb 0.0000 0.0000 0.5000 [1 per cell]  2 B 2.21
Tl 0.5000 0.5000 0.5000 [1 per cell]  8 Zr 3.22, 4 Nb 3.31
B 0.0000 0.0000 0.0000 [1 per cell]  2 Nb 2.21, 4 Zr 2.34

- Calculated density: 8398 kg/m3
- ΔH_f (0 K): -0.212 eV/atom
- Final energy: -37.27 eV/cell



No. 3
Computed, not measured: crystalline FeCu2SI at its relaxed geometry at the PBE level of DFT.

Unit cell a=4.7937 b=4.7937 c=5.6037 alpha=90.00 beta=90.00 gamma=90.00
Last column: nearest neighbours and their distance in Å.
Space group P4/mmm (No. 123)
Unique sites:
Fe 0.0000 0.0000 0.0000 [1 per cell]  4 S 3.39, 8 Cu 3.69
Cu 0.0000 0.5000 0.5000 [2 per cell]  2 I 2.40
S 0.5000 0.5000 0.0000 [1 per cell]  2 I 2.80
I 0.5000 0.5000 0.5000 [1 per cell]  4 Cu 2.40

- ΔE_f (raw): 1422.2 meV per atom
- Calculated density: 4409 kg/m3
- Final energy: -15.22 eV/cell



No. 4
Computed, not measured: crystalline NaTlInBi at its relaxed geometry at the PBE level of DFT.

Unit cell a=7.8501 b=7.8501 c=7.8501 alpha=90.00 beta=90.00 gamma=90.00
Last column: nearest neighbours and their distance in Å.
Space group F-43m (No. 216)
Unique sites:
Na 0.0000 0.0000 0.0000 [4 per cell]  4 Tl 3.40, 4 In 3.40
Tl 0.2500 0.2500 0.7500 [4 per cell]  4 Bi 3.40, 4 Na 3.40
In 0.2500 0.2500 0.2500 [4 per cell]  4 Na 3.40, 4 Bi 3.40
Bi 0.0000 0.0000 0.5000 [4 per cell]  4 In 3.40, 4 Tl 3.40

- Calculated density: 7568 kg/m3
- ΔH_f (0 K): -0.144 eV/atom
- Final energy: -43.52 eV/cell



| no. | total magnetic moment (μB per formula unit) |
| --- | --- |
| 1 | 1.479 |
| 2 | 0.000 |
| 3 | 3.437 |
| 4 | 0.000 |